Li2CrFeO4 PBE+U relaxed; DFT total energy = -6.4967 eV per atom
1.0
-2.975 2.980 4.212
2.975 -2.980 4.212
2.975 2.980 -4.212
Li Cr Fe O
4 2 2 8
Direct
0.000 0.000 0.000 Li
0.500 0.000 0.000 Li
0.500 0.000 0.500 Li
0.500 0.500 0.500 Li
0.000 0.500 0.500 Cr
0.500 0.500 0.000 Cr
0.000 0.000 0.500 Fe
0.000 0.500 0.000 Fe
0.229 0.742 0.487 O
0.243 0.260 0.517 O
0.243 0.726 0.983 O
0.245 0.258 0.987 O
0.755 0.742 0.013 O
0.757 0.274 0.017 O
0.757 0.740 0.483 O
0.771 0.258 0.513 O